## Mg2Co3O8 (GGA-PBEsol)

Data for an optimized crystal structure of Mg2Co3O8.

Results
ΔE to the lowest computed polymorph	12	meV/atom
energy relative to the elements, uncorrected	-19.42	eV/f.u.
total DFT energy (no corrections)	-0.2489	hartree per atom

The structure in CIF format:
```
data_Mg2Co3O8
_chemical_formula_sum 'Mg4 Co6 O16'
_cell_length_a 5.6594
_cell_length_b 5.6594
_cell_length_c 9.1742
_cell_angle_alpha 90.00
_cell_angle_beta 90.00
_cell_angle_gamma 120.00
_symmetry_space_group_name_H-M 'P 63 m c'
_symmetry_Int_Tables_number 186
_symmetry_space_group_name_Hall 'P 6c -2c'
loop_
_atom_site_label
_atom_site_fract_x
_atom_site_fract_y
_atom_site_fract_z
Mg1 0.3333 0.6667 0.0000
Mg2 0.3333 0.6667 0.4012
Co1 0.1643 0.3286 0.6780
O1 0.0000 0.0000 0.0737
O2 0.0389 0.5194 0.5633
O3 0.1587 0.3174 0.2749
O4 0.3333 0.6667 0.7840
```